A plane-wave DFT calculation with GGA-PBE was carried out for a relaxed structure of ZrSbMo6.

Cell: 7.3256 7.3256 8.8296 Å, 90.00 90.00 120.00°
Space group R-3 (No. 148, hexagonal axes)
One atom of each set of equivalent atoms:
Zr 0.0000 0.0000 0.0000 [3 per cell]
Sb 0.0000 0.0000 0.5000 [3 per cell]
Mo 0.0009 0.2512 0.2505 [18 per cell]

Results
* electronic total energy: -9.579 eV per atom
* spin magnetization: 0.0 μB/f.u.

A plane-wave DFT calculation with GGA-PBE was carried out for a relaxed structure of Zr6Sb2Mo.

Cell: 7.8706 7.8706 3.7072 Å, 90.00 90.00 120.00°
Space group P-62m (No. 189)
One atom of each set of equivalent atoms:
Zr 0.0000 0.2492 0.0000 [3 per cell]
Zr 0.0000 0.5950 0.5000 [3 per cell]
Sb 0.3333 0.6667 0.0000 [2 per cell]
Mo 0.0000 0.0000 0.5000 [1 per cell]

Results
* electronic total energy: -8.255 eV per atom
* spin magnetization: 0.0 μB/f.u.

A plane-wave DFT calculation with GGA-PBE was carried out for a relaxed structure of ScMo2.

Cell: 5.4010 5.4010 8.6160 Å, 90.00 90.00 120.00°
Space group P6_3/mmc (No. 194)
One atom of each set of equivalent atoms:
Sc 0.3333 0.6667 0.0621 [4 per cell]
Mo 0.0000 0.0000 0.0000 [2 per cell]
Mo 0.1712 0.3423 0.7500 [6 per cell]

Results
* electronic total energy: -9.344 eV per atom
* spin magnetization: 0.0 μB/f.u.

A plane-wave DFT calculation with GGA-PBE was carried out for a relaxed structure of ScSi2Mo2.

Cell: 3.9001 3.9001 11.0468 Å, 90.00 90.00 90.00°
Space group I4/mmm (No. 139)
One atom of each set of equivalent atoms:
Sc 0.0000 0.0000 0.0000 [2 per cell]
Si 0.0000 0.0000 0.3958 [4 per cell]
Mo 0.0000 0.5000 0.2500 [4 per cell]

Results
* electronic total energy: -8.178 eV per atom
* spin magnetization: 0.0 μB/f.u.

A plane-wave DFT calculation with GGA-PBE was carried out for a relaxed structure of Sc2SiMo2.

Cell: 3.6983 3.6983 13.0848 Å, 90.00 90.00 90.00°
Space group I4/mmm (No. 139)
One atom of each set of equivalent atoms:
Sc 0.0000 0.0000 0.0909 [4 per cell]
Si 0.0000 0.0000 0.5000 [2 per cell]
Mo 0.0000 0.5000 0.2500 [4 per cell]

Results
* electronic total energy: -7.487 eV per atom
* spin magnetization: 0.0 μB/f.u.

A plane-wave DFT calculation with GGA-PBE was carried out for a relaxed structure of ScSi2Mo2.

Cell: 4.4905 4.4905 8.7341 Å, 90.00 90.00 90.00°
Space group I4/mmm (No. 139)
One atom of each set of equivalent atoms:
Sc 0.0000 0.0000 0.0000 [2 per cell]
Si 0.0000 0.5000 0.2500 [4 per cell]
Mo 0.0000 0.0000 0.3688 [4 per cell]

Results
* electronic total energy: -7.799 eV per atom
* spin magnetization: 0.0 μB/f.u.

A plane-wave DFT calculation with GGA-PBE was carried out for a relaxed structure of Sc2Si2Mo.

Cell: 3.4186 3.4186 15.8752 Å, 90.00 90.00 90.00°
Space group I4/mmm (No. 139)
One atom of each set of equivalent atoms:
Sc 0.0000 0.0000 0.1019 [4 per cell]
Si 0.0000 0.5000 0.2500 [4 per cell]
Mo 0.0000 0.0000 0.5000 [2 per cell]

Results
* electronic total energy: -6.797 eV per atom
* spin magnetization: 0.0 μB/f.u.

A plane-wave DFT calculation with GGA-PBE was carried out for a relaxed structure of SmScMo.

Cell: 6.6690 6.6690 6.6690 Å, 90.00 90.00 90.00°
Space group F-43m (No. 216)
One atom of each set of equivalent atoms:
Sm 0.0000 0.0000 0.0000 [4 per cell]
Sc 0.2500 0.2500 0.2500 [4 per cell]
Mo 0.2500 0.2500 0.7500 [4 per cell]

Results
* electronic total energy: -5.992 eV per atom
* spin magnetization: 0.2 μB/f.u.

A plane-wave DFT calculation with GGA-PBE was carried out for a relaxed structure of SmScMo.

Cell: 6.7198 6.7198 6.7198 Å, 90.00 90.00 90.00°
Space group F-43m (No. 216)
One atom of each set of equivalent atoms:
Sm 0.0000 0.0000 0.0000 [4 per cell]
Sc 0.2500 0.2500 0.7500 [4 per cell]
Mo 0.0000 0.0000 0.5000 [4 per cell]

Results
* electronic total energy: -6.202 eV per atom
* spin magnetization: 1.6 μB/f.u.

A plane-wave DFT calculation with GGA-PBE was carried out for a relaxed structure of ScSnMo2.

Cell: 6.5891 6.5891 6.5891 Å, 90.00 90.00 90.00°
Space group F-43m (No. 216)
One atom of each set of equivalent atoms:
Sc 0.0000 0.0000 0.0000 [4 per cell]
Sn 0.2500 0.2500 0.7500 [4 per cell]
Mo 0.0000 0.0000 0.5000 [4 per cell]
Mo 0.2500 0.2500 0.2500 [4 per cell]

Results
* electronic total energy: -8.049 eV per atom
* spin magnetization: 0.0 μB/f.u.

A plane-wave DFT calculation with GGA-PBE was carried out for a relaxed structure of ScSnMo.

Cell: 6.4880 6.4880 6.4880 Å, 90.00 90.00 90.00°
Space group F-43m (No. 216)
One atom of each set of equivalent atoms:
Sc 0.0000 0.0000 0.0000 [4 per cell]
Sn 0.2500 0.2500 0.7500 [4 per cell]
Mo 0.0000 0.0000 0.5000 [4 per cell]

Results
* electronic total energy: -6.752 eV per atom
* spin magnetization: 0.2 μB/f.u.

A plane-wave DFT calculation with GGA-PBE was carried out for a relaxed structure of SrScMo2.

Cell: 6.9023 6.9023 6.9023 Å, 90.00 90.00 90.00°
Space group F-43m (No. 216)
One atom of each set of equivalent atoms:
Sr 0.0000 0.0000 0.0000 [4 per cell]
Sc 0.2500 0.2500 0.2500 [4 per cell]
Mo 0.0000 0.0000 0.5000 [4 per cell]
Mo 0.2500 0.2500 0.7500 [4 per cell]

Results
* electronic total energy: -6.619 eV per atom
* spin magnetization: 0.0 μB/f.u.